DFT (PBE) results for crystalline K2NpCuBr6 at its relaxed geometry.

a = 6.666 Å, b = 7.734 Å, c = 7.734 Å
α = 120.00°, β = 90.00°, γ = 90.00°
Element x y z (fractional)
1 K 0.183 0.333 0.667
2 K 0.817 0.667 0.333
3 Np 0.500 0.000 0.000
4 Cu 0.000 0.000 0.000
5 Br 0.767 0.168 0.336
6 Br 0.767 0.168 0.832
7 Br 0.767 0.664 0.832
8 Br 0.233 0.832 0.168
9 Br 0.233 0.336 0.168
10 Br 0.233 0.832 0.664

Output
Spin magnetization ... 4.00 μB/f.u.
Formation energy without anion corrections ... -12.31 eV/f.u.
Crystal system ... trigonal